w | VASP calculation (PBE) on a geometry-optimized Sb2TeMoIr structure.

It has space group P4/mmm (No. 123), with a = 5.1361 Å, b = 5.1361 Å, c = 5.0975 Å, α = 90.00°, β = 90.00° and γ = 90.00°. Symmetry generates all atoms from Sb at (0.0000, 0.5000, 0.0000), Te at (0.0000, 0.0000, 0.5000), Mo at (0.0000, 0.0000, 0.0000) and Ir at (0.5000, 0.5000, 0.5000).

***

x | VASP calculation (PBE) on a geometry-optimized Sb2TeMoIr structure.

It has space group P4/mmm (No. 123), with a = 5.0539 Å, b = 5.0539 Å, c = 5.5117 Å, α = 90.00°, β = 90.00° and γ = 90.00°. Symmetry generates all atoms from Sb at (0.0000, 0.5000, 0.0000), Te at (0.0000, 0.0000, 0.5000), Mo at (0.5000, 0.5000, 0.5000) and Ir at (0.0000, 0.0000, 0.0000).

***

So which one is most stable? That would be x, about 107 meV/atom below the next structure.

***

w | VASP calculation (PBE) on a geometry-optimized ScMo2Ir2 structure.

It has space group P4/mbm (No. 127), with a = 7.7713 Å, b = 7.7713 Å, c = 2.7804 Å, α = 90.00°, β = 90.00° and γ = 90.00°. Symmetry generates all atoms from Sc at (0.0000, 0.0000, 0.0000), Mo at (0.1196, 0.3804, 0.0000) and Ir at (0.1728, 0.6728, 0.5000).

***

x | VASP calculation (PBE) on a geometry-optimized ScMo2Ir2 structure.

It has space group P4/mbm (No. 127), with a = 7.6812 Å, b = 7.6812 Å, c = 2.8376 Å, α = 90.00°, β = 90.00° and γ = 90.00°. Symmetry generates all atoms from Sc at (0.0000, 0.0000, 0.0000), Mo at (0.1700, 0.3300, 0.5000) and Ir at (0.1260, 0.6260, 0.0000).

***

So which one is most stable? That would be w, about 23 meV/atom below the next structure.

***

w | VASP calculation (PBE) on a geometry-optimized ScMo3Ir structure.

It has space group Pm-3m (No. 221), with a = 4.4901 Å, b = 4.4901 Å, c = 4.4901 Å, α = 90.00°, β = 90.00° and γ = 90.00°. Symmetry generates all atoms from Sc at (0.0000, 0.0000, 0.0000), Mo at (0.0000, 0.0000, 0.5000) and Ir at (0.5000, 0.5000, 0.5000).

***

x | VASP calculation (PBE) on a geometry-optimized ScMo3Ir structure.

It has space group Pm-3m (No. 221), with a = 4.7670 Å, b = 4.7670 Å, c = 4.7670 Å, α = 90.00°, β = 90.00° and γ = 90.00°. Symmetry generates all atoms from Sc at (0.0000, 0.0000, 0.0000), Mo at (0.0000, 0.5000, 0.5000) and Ir at (0.5000, 0.5000, 0.5000).

***

So which one is most stable? That would be x, about 818 meV/atom below the next structure.

***

w | VASP calculation (PBE) on a geometry-optimized MoIrSe structure.

It has space group P-6m2 (No. 187), with a = 4.2672 Å, b = 4.2672 Å, c = 3.0179 Å, α = 90.00°, β = 90.00° and γ = 120.00°. Symmetry generates all atoms from Mo at (0.0000, 0.0000, 0.0000), Ir at (0.3333, 0.6667, 0.5000) and Se at (0.6667, 0.3333, 0.0000).

***

x | VASP calculation (PBE) on a geometry-optimized MoIrSe structure.

It has space group I4mm (No. 107), with a = 3.0097 Å, b = 3.0097 Å, c = 10.5393 Å, α = 90.00°, β = 90.00° and γ = 90.00°. Symmetry generates all atoms from Mo at (0.0000, 0.0000, 0.0000), Ir at (0.0000, 0.0000, 0.6571) and Se at (0.0000, 0.0000, 0.3463).

***

So which one is most stable? That would be x, about 184 meV/atom below the next structure.